Here is a relaxed V2CrCdO8 crystal from Alexandria. Energies are from PBE with a Hubbard U.

DFT total energy ... -6.679 eV per atom
Magnetization ... 3.90 μB per cell
Theoretical density ... 4.5 g/cm³

a = 6.8683 Å, b = 6.8683 Å, c = 6.2320 Å
α = 90.00°, β = 90.00°, γ = 90.00°
Space group I-4m2 (No. 119)
Asymmetric unit:
V  0.0000  0.0000  0.0000
V  0.0000  0.5000  0.2500
Cr  0.0000  0.0000  0.5000
Cd  0.0000  0.5000  0.7500
O  0.0000  0.1823  0.8070
O  0.0000  0.2913  0.4121